Version A
# BeRuW | the Alexandria database | PBE | relaxed
# calculated density = 12.7 Mg/m³
data_BeRuW
_cell_length_a 2.9619
_cell_length_b 2.9619
_cell_length_c 8.7421
_cell_angle_alpha 90.00
_cell_angle_beta 90.00
_cell_angle_gamma 90.00
_symmetry_space_group_name_H-M 'I 4 m m'
_symmetry_Int_Tables_number 107
_symmetry_space_group_name_Hall 'I 4 -2'
loop_
_atom_site_label
_atom_site_fract_x
_atom_site_fract_y
_atom_site_fract_z
_atom_site_occupancy
Be1 0.0000 0.0000 0.0000 1
Ru1 0.0000 0.0000 0.6395 1
W1 0.0000 0.0000 0.3252 1

***

Version B
# BeRuW | the Alexandria database | PBE | relaxed
# calculated density = 12.4 Mg/m³
data_BeRuW
_cell_length_a 4.0565
_cell_length_b 4.0565
_cell_length_c 2.7700
_cell_angle_alpha 90.00
_cell_angle_beta 90.00
_cell_angle_gamma 120.00
_symmetry_space_group_name_H-M 'P 3 m 1'
_symmetry_Int_Tables_number 156
loop_
_symmetry_equiv_pos_as_xyz
'x,y,z'
'-y,x-y,z'
'-x+y,-x,z'
'-y,-x,z'
'-x+y,y,z'
'x,x-y,z'
loop_
_atom_site_label
_atom_site_fract_x
_atom_site_fract_y
_atom_site_fract_z
_atom_site_occupancy
Be1 0.0000 0.0000 0.0000 1
Ru1 0.6667 0.3333 0.0676 1
W1 0.3333 0.6667 0.5279 1

***

Short version: version A is the most stable of them.

***

Version A
# BeRuW | the Alexandria database | PBE | relaxed
# calculated density = 10.3 Mg/m³
data_BeRuW
_cell_length_a 5.7365
_cell_length_b 5.7365
_cell_length_c 5.7365
_cell_angle_alpha 90.00
_cell_angle_beta 90.00
_cell_angle_gamma 90.00
_symmetry_space_group_name_H-M 'F -4 3 m'
_symmetry_Int_Tables_number 216
_symmetry_space_group_name_Hall 'F -4 2 3'
loop_
_atom_site_label
_atom_site_fract_x
_atom_site_fract_y
_atom_site_fract_z
_atom_site_occupancy
Be1 0.0000 0.0000 0.0000 1
Ru1 0.2500 0.2500 0.2500 1
W1 0.0000 0.0000 0.5000 1

***

Version B
# BeRuW | the Alexandria database | PBE | relaxed
# calculated density = 12.6 Mg/m³
data_BeRuW
_cell_length_a 5.1366
_cell_length_b 4.1491
_cell_length_c 7.2984
_cell_angle_alpha 90.00
_cell_angle_beta 90.00
_cell_angle_gamma 90.00
_symmetry_space_group_name_H-M 'P n m a'
_symmetry_Int_Tables_number 62
loop_
_symmetry_equiv_pos_as_xyz
'x,y,z'
'-x,-y,-z'
'-x+1/2,-y,z+1/2'
'x+1/2,y,-z+1/2'
'x+1/2,-y+1/2,-z+1/2'
'-x+1/2,y+1/2,z+1/2'
'-x,y+1/2,-z'
'x,-y+1/2,z'
loop_
_atom_site_label
_atom_site_fract_x
_atom_site_fract_y
_atom_site_fract_z
_atom_site_occupancy
Be1 0.2318 0.2500 0.0860 1
Ru1 0.2296 0.2500 0.4196 1
W1 0.0146 0.2500 0.7538 1

***

Short version: version B is the most stable of them.

***

Version A
# BeRu2W | the Alexandria database | PBE | relaxed
# calculated density = 12.1 Mg/m³
data_BeRu2W
_cell_length_a 2.7589
_cell_length_b 3.8340
_cell_length_c 5.1230
_cell_angle_alpha 90.00
_cell_angle_beta 90.13
_cell_angle_gamma 90.00
_symmetry_space_group_name_H-M 'P 1 m 1'
_symmetry_Int_Tables_number 6
loop_
_symmetry_equiv_pos_as_xyz
'x,y,z'
'x,-y,z'
loop_
_atom_site_label
_atom_site_fract_x
_atom_site_fract_y
_atom_site_fract_z
_atom_site_occupancy
Be1 0.0000 0.0000 0.0000 1
Ru1 0.5004 0.5000 0.8011 1
Ru2 0.9994 0.0000 0.5091 1
W1 0.5007 0.5000 0.2623 1

***

Version B
# BeRu2W | the Alexandria database | PBE | relaxed
# calculated density = 12.1 Mg/m³
data_BeRu2W
_cell_length_a 2.7447
_cell_length_b 2.7447
_cell_length_c 25.0137
_cell_angle_alpha 90.00
_cell_angle_beta 90.00
_cell_angle_gamma 120.00
_symmetry_space_group_name_H-M 'R 3 m'
_symmetry_Int_Tables_number 160
_symmetry_space_group_name_Hall 'R 3 -2"'
loop_
_atom_site_label
_atom_site_fract_x
_atom_site_fract_y
_atom_site_fract_z
_atom_site_occupancy
Be1 0.0000 0.0000 0.0000 1
Ru1 0.0000 0.0000 0.4948 1
Ru2 0.0000 0.0000 0.7397 1
W1 0.0000 0.0000 0.2495 1

***

Short version: version A is the most stable of them.

***

Version A
# BeRu2W | the Alexandria database | PBE | relaxed
# calculated density = 12.2 Mg/m³
data_BeRu2W
_cell_length_a 2.9469
_cell_length_b 4.5106
_cell_length_c 8.0790
_cell_angle_alpha 90.00
_cell_angle_beta 90.00
_cell_angle_gamma 90.00
_symmetry_space_group_name_H-M 'C m m m'
_symmetry_Int_Tables_number 65
_symmetry_space_group_name_Hall '-C 2 2'
loop_
_atom_site_label
_atom_site_fract_x
_atom_site_fract_y
_atom_site_fract_z
_atom_site_occupancy
Be1 0.0000 0.0000 0.0000 1
Ru1 0.0000 0.5000 0.2217 1
W1 0.0000 0.0000 0.5000 1

***

Version B
# BeRu2W | the Alexandria database | PBE | relaxed
# calculated density = 12.6 Mg/m³
data_BeRu2W
_cell_length_a 2.8487
_cell_length_b 4.4191
_cell_length_c 8.2697
_cell_angle_alpha 90.00
_cell_angle_beta 90.00
_cell_angle_gamma 90.00
_symmetry_space_group_name_H-M 'I m m m'
_symmetry_Int_Tables_number 71
_symmetry_space_group_name_Hall '-I 2 2'
loop_
_atom_site_label
_atom_site_fract_x
_atom_site_fract_y
_atom_site_fract_z
_atom_site_occupancy
Be1 0.0000 0.0000 0.0000 1
Ru1 0.0000 0.5000 0.2802 1
W1 0.0000 0.0000 0.5000 1

***

Version C
# BeRu2W | the Alexandria database | PBE | relaxed
# calculated density = 12.0 Mg/m³
data_BeRu2W
_cell_length_a 2.9360
_cell_length_b 4.4576
_cell_length_c 8.3202
_cell_angle_alpha 90.00
_cell_angle_beta 90.00
_cell_angle_gamma 90.00
_symmetry_space_group_name_H-M 'C m m 2'
_symmetry_Int_Tables_number 35
loop_
_symmetry_equiv_pos_as_xyz
'x,y,z'
'-x,-y,z'
'-x,y,z'
'x,-y,z'
'x+1/2,y+1/2,z'
'-x+1/2,-y+1/2,z'
'-x+1/2,y+1/2,z'
'x+1/2,-y+1/2,z'
loop_
_atom_site_label
_atom_site_fract_x
_atom_site_fract_y
_atom_site_fract_z
_atom_site_occupancy
Be1 0.0000 0.0000 0.0000 1
Ru1 0.0000 0.0000 0.4895 1
Ru2 0.0000 0.5000 0.2122 1
W1 0.0000 0.5000 0.7564 1

***

Short version: version B is the most stable of them.

***

Version A
# BeRu2W | the Alexandria database | PBE | relaxed
# calculated density = 12.4 Mg/m³
data_BeRu2W
_cell_length_a 3.0031
_cell_length_b 3.0031
_cell_length_c 5.8457
_cell_angle_alpha 90.00
_cell_angle_beta 90.00
_cell_angle_gamma 90.00
_symmetry_space_group_name_H-M 'P 4/m m m'
_symmetry_Int_Tables_number 123
_symmetry_space_group_name_Hall '-P 4 2'
loop_
_atom_site_label
_atom_site_fract_x
_atom_site_fract_y
_atom_site_fract_z
_atom_site_occupancy
Be1 0.0000 0.0000 0.0000 1
Ru1 0.5000 0.5000 0.2283 1
W1 0.0000 0.0000 0.5000 1

***

Version B
# BeRu2W | the Alexandria database | PBE | relaxed
# calculated density = 12.2 Mg/m³
data_BeRu2W
_cell_length_a 5.9896
_cell_length_b 5.9896
_cell_length_c 5.9896
_cell_angle_alpha 90.00
_cell_angle_beta 90.00
_cell_angle_gamma 90.00
_symmetry_space_group_name_H-M 'F m -3 m'
_symmetry_Int_Tables_number 225
_symmetry_space_group_name_Hall '-F 4 2 3'
loop_
_atom_site_label
_atom_site_fract_x
_atom_site_fract_y
_atom_site_fract_z
_atom_site_occupancy
Be1 0.0000 0.0000 0.0000 1
Ru1 0.2500 0.2500 0.2500 1
W1 0.0000 0.0000 0.5000 1

***

Version C
# BeRu2W | the Alexandria database | PBE | relaxed
# calculated density = 12.0 Mg/m³
data_BeRu2W
_cell_length_a 6.5497
_cell_length_b 6.5497
_cell_length_c 5.0758
_cell_angle_alpha 90.00
_cell_angle_beta 90.00
_cell_angle_gamma 90.00
_symmetry_space_group_name_H-M 'I -4 2 d'
_symmetry_Int_Tables_number 122
_symmetry_space_group_name_Hall 'I -4 2bw'
loop_
_atom_site_label
_atom_site_fract_x
_atom_site_fract_y
_atom_site_fract_z
_atom_site_occupancy
Be1 0.0000 0.0000 0.0000 1
Ru1 0.1829 0.7500 0.1250 1
W1 0.0000 0.0000 0.5000 1

***

Version D
# BeRu2W | the Alexandria database | PBE | relaxed
# calculated density = 12.3 Mg/m³
data_BeRu2W
_cell_length_a 9.2265
_cell_length_b 3.0622
_cell_length_c 4.1225
_cell_angle_alpha 90.00
_cell_angle_beta 113.86
_cell_angle_gamma 90.00
_symmetry_space_group_name_H-M 'C 1 m 1'
_symmetry_Int_Tables_number 8
loop_
_symmetry_equiv_pos_as_xyz
'x,y,z'
'x,-y,z'
'x+1/2,y+1/2,z'
'x+1/2,-y+1/2,z'
loop_
_atom_site_label
_atom_site_fract_x
_atom_site_fract_y
_atom_site_fract_z
_atom_site_occupancy
Be1 0.0000 0.0000 0.0000 1
Ru1 0.0062 0.5000 0.5175 1
Ru2 0.2719 0.0000 0.8221 1
W1 0.2498 0.5000 0.2972 1

***

Short version: version B is the most stable of them.

***

Version A
# BeRu2W | the Alexandria database | PBE | relaxed
# calculated density = 12.1 Mg/m³
data_BeRu2W
_cell_length_a 3.0652
_cell_length_b 3.0652
_cell_length_c 5.7717
_cell_angle_alpha 90.00
_cell_angle_beta 90.00
_cell_angle_gamma 90.00
_symmetry_space_group_name_H-M 'P 4 m m'
_symmetry_Int_Tables_number 99
loop_
_symmetry_equiv_pos_as_xyz
'x,y,z'
'-y,x,z'
'-x,-y,z'
'y,-x,z'
'-x,y,z'
'y,x,z'
'x,-y,z'
'-y,-x,z'
loop_
_atom_site_label
_atom_site_fract_x
_atom_site_fract_y
_atom_site_fract_z
_atom_site_occupancy
Be1 0.0000 0.0000 0.0000 1
Ru1 0.0000 0.0000 0.4906 1
Ru2 0.5000 0.5000 0.1523 1
W1 0.5000 0.5000 0.7348 1

***

Version B
# BeRu2W | the Alexandria database | PBE | relaxed
# calculated density = 12.3 Mg/m³
data_BeRu2W
_cell_length_a 2.7801
_cell_length_b 2.7801
_cell_length_c 23.9724
_cell_angle_alpha 90.00
_cell_angle_beta 90.00
_cell_angle_gamma 120.00
_symmetry_space_group_name_H-M 'R -3 m'
_symmetry_Int_Tables_number 166
_symmetry_space_group_name_Hall '-R 3 2"'
loop_
_atom_site_label
_atom_site_fract_x
_atom_site_fract_y
_atom_site_fract_z
_atom_site_occupancy
Be1 0.0000 0.0000 0.0000 1
Ru1 0.0000 0.0000 0.2586 1
W1 0.0000 0.0000 0.5000 1

***

Short version: version A is the most stable of them.

***

Version A
# BeRu2W | the Alexandria database | PBE | relaxed
# calculated density = 12.1 Mg/m³
data_BeRu2W
_cell_length_a 8.3622
_cell_length_b 2.7477
_cell_length_c 4.7747
_cell_angle_alpha 90.00
_cell_angle_beta 98.54
_cell_angle_gamma 90.00
_symmetry_space_group_name_H-M 'C 1 2/m 1'
_symmetry_Int_Tables_number 12
loop_
_symmetry_equiv_pos_as_xyz
'x,y,z'
'-x,-y,-z'
'-x,y,-z'
'x,-y,z'
'x+1/2,y+1/2,z'
'-x+1/2,-y+1/2,-z'
'-x+1/2,y+1/2,-z'
'x+1/2,-y+1/2,z'
loop_
_atom_site_label
_atom_site_fract_x
_atom_site_fract_y
_atom_site_fract_z
_atom_site_occupancy
Be1 0.0000 0.0000 0.0000 1
Ru1 0.2454 0.5000 0.2293 1
W1 0.0000 0.5000 0.5000 1

***

Version B
# BeRu2W | the Alexandria database | PBE | relaxed
# calculated density = 12.0 Mg/m³
data_BeRu2W
_cell_length_a 6.0165
_cell_length_b 6.0165
_cell_length_c 6.0165
_cell_angle_alpha 90.00
_cell_angle_beta 90.00
_cell_angle_gamma 90.00
_symmetry_space_group_name_H-M 'F -4 3 m'
_symmetry_Int_Tables_number 216
_symmetry_space_group_name_Hall 'F -4 2 3'
loop_
_atom_site_label
_atom_site_fract_x
_atom_site_fract_y
_atom_site_fract_z
_atom_site_occupancy
Be1 0.0000 0.0000 0.0000 1
Ru1 0.0000 0.0000 0.5000 1
Ru2 0.2500 0.2500 0.7500 1
W1 0.2500 0.2500 0.2500 1

***

Short version: version A is the most stable of them.

***

Version A
# BeRuW3 | the Alexandria database | PBE | relaxed
# calculated density = 14.8 Mg/m³
data_BeRuW3
_cell_length_a 4.2004
_cell_length_b 4.2004
_cell_length_c 4.2004
_cell_angle_alpha 90.00
_cell_angle_beta 90.00
_cell_angle_gamma 90.00
_symmetry_space_group_name_H-M 'P m -3 m'
_symmetry_Int_Tables_number 221
_symmetry_space_group_name_Hall '-P 4 2 3'
loop_
_atom_site_label
_atom_site_fract_x
_atom_site_fract_y
_atom_site_fract_z
_atom_site_occupancy
Be1 0.0000 0.0000 0.0000 1
Ru1 0.5000 0.5000 0.5000 1
W1 0.0000 0.0000 0.5000 1

***

Version B
# BeRuW3 | the Alexandria database | PBE | relaxed
# calculated density = 10.8 Mg/m³
data_BeRuW3
_cell_length_a 4.6752
_cell_length_b 4.6752
_cell_length_c 4.6752
_cell_angle_alpha 90.00
_cell_angle_beta 90.00
_cell_angle_gamma 90.00
_symmetry_space_group_name_H-M 'P m -3 m'
_symmetry_Int_Tables_number 221
_symmetry_space_group_name_Hall '-P 4 2 3'
loop_
_atom_site_label
_atom_site_fract_x
_atom_site_fract_y
_atom_site_fract_z
_atom_site_occupancy
Be1 0.0000 0.0000 0.0000 1
Ru1 0.5000 0.5000 0.5000 1
W1 0.0000 0.5000 0.5000 1

***

Short version: version A is the most stable of them.